A plane-wave DFT calculation with PBE-GGA was carried out for an optimized crystal structure of Dy5Er2Ni2Se2.

Calculated values
* final energy: -5.3809 eV/atom
* crystal system: orthorhombic
* size of the total moment: 0.01 μB per formula unit

a = 9.069 Å, b = 9.069 Å, c = 9.069 Å
α = 155.89°, β = 67.24°, γ = 118.31°
Fractional positions:
Dy 0.000 0.000 0.000
Dy 0.100 0.741 0.359
Dy 0.381 0.741 0.641
Dy 0.462 0.587 0.875
Dy 0.713 0.587 0.125
Er 0.067 0.383 0.683
Er 0.700 0.383 0.317
Ni 0.314 0.076 0.238
Ni 0.838 0.076 0.762
Se 0.339 0.339 0.000
Se 0.743 0.243 0.500

A plane-wave DFT calculation with PBE-GGA was carried out for an optimized crystal structure of SmAsN2O.

Calculated values
* final energy: -7.0771 eV/atom
* crystal system: triclinic
* size of the total moment: 0.00 μB per formula unit

a = 7.054 Å, b = 8.311 Å, c = 8.364 Å
α = 83.57°, β = 89.78°, γ = 89.94°
Fractional positions:
Sm 0.000 0.000 0.000
Sm 0.002 0.079 0.573
Sm 0.022 0.585 0.117
Sm 0.032 0.507 0.538
Sm 0.491 0.007 0.011
Sm 0.502 0.085 0.614
Sm 0.525 0.594 0.066
Sm 0.530 0.508 0.482
As 0.249 0.334 0.880
As 0.257 0.767 0.778
As 0.270 0.233 0.290
As 0.275 0.812 0.362
As 0.755 0.749 0.749
As 0.757 0.324 0.809
As 0.763 0.844 0.337
As 0.767 0.257 0.213
N 0.004 0.790 0.698
N 0.026 0.879 0.284
N 0.038 0.288 0.764
N 0.224 0.197 0.074
N 0.250 0.544 0.908
N 0.305 0.702 0.567
N 0.306 0.032 0.397
N 0.478 0.268 0.821
N 0.518 0.810 0.825
N 0.519 0.780 0.262
N 0.528 0.339 0.257
N 0.717 0.887 0.541
N 0.732 0.540 0.709
N 0.735 0.046 0.195
N 0.805 0.381 0.021
N 0.991 0.304 0.327
O 0.232 0.805 0.009
O 0.236 0.005 0.761
O 0.249 0.588 0.302
O 0.285 0.306 0.500
O 0.743 0.284 0.583
O 0.754 0.087 0.837
O 0.804 0.754 0.989
O 0.808 0.610 0.348

A plane-wave DFT calculation with PBE-GGA was carried out for an optimized crystal structure of Ho4GaGe3.

Calculated values
* final energy: -5.2269 eV/atom
* crystal system: orthorhombic
* size of the total moment: 0.00 μB per formula unit

a = 3.958 Å, b = 4.281 Å, c = 10.718 Å
α = 90.00°, β = 90.00°, γ = 90.00°
Fractional positions:
Ho 0.000 0.000 0.000
Ho 0.000 0.500 0.499
Ho 0.500 0.000 0.721
Ho 0.500 0.500 0.221
Ga 0.000 0.500 0.780
Ge 0.000 0.000 0.275
Ge 0.500 0.000 0.445
Ge 0.500 0.500 0.942

A plane-wave DFT calculation with PBE-GGA was carried out for an optimized crystal structure of NdCdBr.

Calculated values
* final energy: -3.2296 eV/atom
* crystal system: tetragonal
* size of the total moment: 0.11 μB per formula unit

a = 4.238 Å, b = 4.238 Å, c = 8.839 Å
α = 90.00°, β = 90.00°, γ = 90.00°
Fractional positions:
Nd 0.250 0.250 0.220
Nd 0.750 0.750 0.780
Cd 0.250 0.750 0.500
Cd 0.750 0.250 0.500
Br 0.250 0.250 0.879
Br 0.750 0.750 0.121

A plane-wave DFT calculation with PBE-GGA was carried out for an optimized crystal structure of KOsBr6.

Calculated values
* final energy: -3.3111 eV/atom
* crystal system: triclinic
* size of the total moment: 3.00 μB per formula unit

a = 7.090 Å, b = 7.132 Å, c = 7.652 Å
α = 62.69°, β = 62.89°, γ = 60.24°
Fractional positions:
K 0.000 0.000 0.000
Os 0.500 0.500 0.500
Br 0.114 0.670 0.720
Br 0.325 0.502 0.282
Br 0.499 0.114 0.719
Br 0.501 0.886 0.281
Br 0.675 0.498 0.718
Br 0.886 0.330 0.280

A plane-wave DFT calculation with PBE-GGA was carried out for an optimized crystal structure of Dy2YTm2Lu2Ni2Te2.

Calculated values
* crystal system: orthorhombic
* ΔE to the lowest computed polymorph: 1.6 kJ/mol of atoms
* size of the total moment: 0.01 μB per formula unit

a = 9.260 Å, b = 9.260 Å, c = 9.260 Å
α = 156.20°, β = 66.95°, γ = 118.46°
Fractional positions:
Dy 0.186 0.000 0.186
Dy 0.814 0.000 0.814
Y 0.878 0.378 0.500
Tm 0.164 0.797 0.367
Tm 0.430 0.797 0.633
Lu 0.502 0.649 0.853
Lu 0.796 0.649 0.147
Ni 0.043 0.305 0.738
Ni 0.567 0.305 0.262
Te 0.146 0.146 0.000
Te 0.542 0.042 0.500